Material: Hg5AuS4
Method: DFT, GGA-PBE
State: optimized geometry

Results
**DFT total energy**: -21.088 eV/f.u.
**Size of the total moment**: 0.0 Bohr magnetons per cell
**Energy relative to the elements, uncorrected**: 21 meV per atom
**Space group**: No. 59
**N(E_F)**: 0.217 states/eV per atom

a b c (Å): 5.575 8.806 12.685
angles (deg): 90.00 90.00 90.00
Sites, in units of the cell vectors:
S  0.514  0.260  0.000
S  0.514  0.740  0.000
Hg  0.326  0.691  0.186
S  0.973  0.500  0.811
S  0.486  0.240  0.500
Hg  0.674  0.809  0.314
Au  0.467  0.500  0.500
Hg  0.326  0.691  0.814
Au  0.533  0.000  0.000
Hg  0.891  0.500  0.000
Hg  0.109  0.000  0.500
Hg  0.674  0.809  0.686
Hg  0.674  0.191  0.686
Hg  0.326  0.309  0.186
S  0.027  0.000  0.311
S  0.486  0.760  0.500
S  0.027  0.000  0.689
Hg  0.326  0.309  0.814
Hg  0.674  0.191  0.314
S  0.973  0.500  0.189